KTbCoCl6 (PBE, optimized geometry); raw formation energy = -1637 meV/atom; VASP energy = -4.294 eV/atom
1.0
-6.310 2.106 0.614
-4.860 -2.867 -3.577
-1.044 -4.662 5.131
K Tb Co Cl
1 1 1 6
direct
0.000 0.000 0.000
0.334 0.334 0.500
0.667 0.667 0.500
0.978 0.380 0.293
0.380 0.978 0.707
0.636 0.386 0.711
0.978 0.642 0.707
0.386 0.636 0.289
0.642 0.978 0.293

---

LiCa2P (PBE, optimized geometry); formation energy = -0.075 eV per atom; VASP energy = -2.907 eV/atom
1.0
5.138 0.000 0.000
2.569 4.450 0.000
2.569 1.483 4.195
Ca Li P
2 1 1
direct
0.000 0.000 0.000
0.250 0.250 0.250
0.500 0.500 0.500
0.750 0.750 0.750

---

CuAg2Bi (PBE, optimized geometry); formation energy = 0.270 eV per atom; VASP energy = -3.150 eV/atom
1.0
7.831 0.000 0.000
0.000 7.831 0.000
3.915 3.915 2.753
Cu Bi Ag
2 2 4
direct
0.500 0.500 0.000
0.250 0.750 0.500
0.000 0.000 0.000
0.750 0.250 0.500
0.582 0.125 0.250
0.168 0.625 0.250
0.375 0.418 0.750
0.875 0.832 0.750

---

TlCoTc (PBE, optimized geometry); offset from the most stable computed form = 0.64 eV/f.u.; formation energy = 0.710 eV per atom; VASP energy = -5.902 eV/atom
1.0
4.252 0.000 0.000
-2.126 3.683 0.000
0.000 0.000 3.193
Co Tc Tl
1 1 1
direct
0.000 0.000 0.107
0.667 0.333 0.206
0.333 0.667 0.687

---

PrTmCo2 (PBE, optimized geometry); offset from the most stable computed form = 0.00 eV/f.u.; formation energy = -0.041 eV per atom; VASP energy = -5.907 eV/atom
1.0
3.396 0.000 0.000
0.000 3.396 0.000
0.000 0.000 6.793
Pr Tm Co
1 1 2
direct
0.500 0.500 0.500
0.500 0.500 0.000
0.000 0.000 0.769
0.000 0.000 0.231

---

KLaMgF6 (PBE, optimized geometry); raw formation energy = -3613 meV/atom; VASP energy = -5.707 eV/atom
1.0
7.957 0.000 0.000
0.000 7.354 0.000
-3.979 -3.677 5.099
K La Mg F
2 2 2 12
direct
0.825 0.575 0.650
0.175 0.425 0.350
0.500 0.000 0.500
0.000 0.000 0.500
0.500 0.500 0.000
0.500 0.000 0.000
0.578 0.828 0.155
0.876 0.126 0.752
0.815 0.162 0.269
0.454 0.607 0.269
0.454 0.162 0.269
0.815 0.607 0.269
0.422 0.172 0.845
0.124 0.874 0.248
0.185 0.838 0.731
0.546 0.393 0.731
0.546 0.838 0.731
0.185 0.393 0.731

---

NaFeP3 (PBE, optimized geometry); offset from the most stable computed form = 0.00 eV/f.u.; formation energy = 0.298 eV per atom; VASP energy = -4.905 eV/atom
1.0
-2.470 -3.696 0.182
1.626 -1.280 -3.939
3.325 -2.120 2.061
P Fe Na
3 1 1
direct
0.000 0.500 0.000
0.000 0.000 0.500
0.500 0.000 0.000
0.000 0.000 0.000
0.500 0.500 0.500

---

ZrTlCu (PBE, optimized geometry); formation energy = 0.194 eV per atom; VASP energy = -4.809 eV/atom
1.0
4.237 -2.446 0.000
0.000 4.892 0.000
0.000 0.000 5.865
Tl Cu Zr
2 2 2
direct
0.333 0.667 0.250
0.667 0.333 0.750
0.000 0.000 0.000
0.000 0.000 0.500
0.333 0.667 0.750
0.667 0.333 0.250

---

BaAcTl3 (PBE, optimized geometry); offset from the most stable computed form = 0.13 eV/f.u.; formation energy = -0.297 eV per atom; VASP energy = -2.923 eV/atom
1.0
-1.996 6.232 -5.491
-5.887 -5.293 -3.869
-6.974 3.227 6.198
Ba Ac Tl
4 4 12
direct
0.193 0.650 0.500
0.307 0.150 0.000
0.807 0.350 0.500
0.693 0.850 0.000
0.318 0.150 0.500
0.682 0.850 0.500
0.818 0.350 0.000
0.182 0.650 0.000
0.625 0.138 0.249
0.125 0.362 0.749
0.500 0.500 0.202
0.000 0.000 0.298
0.500 0.500 0.798
0.375 0.862 0.751
0.375 0.862 0.249
0.625 0.138 0.751
0.875 0.638 0.251
0.000 0.000 0.702
0.875 0.638 0.749
0.125 0.362 0.251

---

Ba2ScGeTe5 (PBE, optimized geometry); raw formation energy = -1143 meV/atom; VASP energy = -4.532 eV/atom
1.0
4.672 0.000 0.000
-2.336 10.117 0.000
0.000 0.000 13.692
Ba Sc Ge Te
4 2 2 10
direct
0.874 0.749 0.815
0.122 0.244 0.687
0.126 0.251 0.315
0.878 0.756 0.187
0.792 0.585 0.524
0.208 0.415 0.024
0.563 0.127 0.943
0.437 0.873 0.443
0.348 0.695 0.003
0.690 0.379 0.876
0.501 0.003 0.771
0.294 0.589 0.659
0.946 0.892 0.545
0.652 0.305 0.503
0.310 0.621 0.376
0.499 0.997 0.271
0.706 0.411 0.159
0.054 0.108 0.045

---

Sr2Li10Mg (PBE, optimized geometry); formation energy = 0.128 eV per atom; VASP energy = -1.726 eV/atom
1.0
6.437 0.000 0.000
0.000 6.166 0.000
0.000 0.000 18.405
Sr Li Mg
4 20 2
direct
0.500 0.213 0.846
0.500 0.787 0.154
0.500 0.713 0.654
0.500 0.287 0.346
0.000 0.111 0.426
0.000 0.889 0.574
0.000 0.611 0.074
0.000 0.389 0.926
0.000 0.040 0.711
0.000 0.960 0.289
0.295 0.297 0.051
0.295 0.703 0.949
0.705 0.797 0.449
0.705 0.203 0.551
0.705 0.703 0.949
0.705 0.297 0.051
0.295 0.203 0.551
0.295 0.797 0.449
0.000 0.054 0.148
0.000 0.946 0.852
0.000 0.554 0.352
0.000 0.446 0.648
0.000 0.460 0.211
0.000 0.540 0.789
0.000 0.500 0.500
0.000 0.000 0.000

---

Ba4ErPd3O12 (PBE, optimized geometry); raw formation energy = -1692 meV/atom; VASP energy = -6.058 eV/atom
1.0
-2.928 6.568 -0.641
-3.856 -4.739 -3.845
-0.002 -1.968 6.946
Ba Er Pd O
4 1 3 12
direct
0.500 0.500 0.500
0.000 0.000 0.500
0.500 0.000 0.000
0.000 0.500 0.000
0.000 0.000 0.000
0.500 0.000 0.500
0.500 0.500 0.000
0.000 0.500 0.500
0.250 0.500 0.750
0.739 0.000 0.739
0.261 0.000 0.261
0.750 0.500 0.250
0.739 0.739 0.000
0.261 0.261 0.000
0.750 0.250 0.500
0.250 0.750 0.500
0.500 0.250 0.750
0.000 0.739 0.739
0.500 0.750 0.250
0.000 0.261 0.261

---

AlTl2Hg (PBE, optimized geometry); offset from the most stable computed form = 0.33 eV/f.u.; formation energy = 0.199 eV per atom; VASP energy = -1.996 eV/atom
1.0
3.332 0.000 0.000
0.000 5.694 0.000
0.000 0.000 5.649
Tl Hg Al
2 1 1
direct
0.000 0.000 0.000
0.500 0.500 0.000
0.000 0.500 0.500
0.500 0.000 0.500

---

RbNaSc2As (PBE, optimized geometry); formation energy = -0.009 eV per atom; VASP energy = -3.929 eV/atom
1.0
-1.392 0.401 -5.074
-5.246 -3.037 1.200
-2.416 4.578 1.024
Sc Na As Rb
2 1 1 1
direct
0.000 0.000 0.500
0.500 0.000 0.000
0.000 0.500 0.000
0.000 0.000 0.000
0.500 0.500 0.500

---

KSr2CaTl (PBE, optimized geometry); formation energy = -0.056 eV per atom; VASP energy = -1.822 eV/atom
1.0
6.550 0.000 0.000
0.000 6.550 0.000
0.000 0.000 6.208
K Sr Tl Ca
1 2 1 1
direct
0.500 0.500 0.500
0.000 0.500 0.000
0.500 0.000 0.000
0.000 0.000 0.000
0.000 0.000 0.500

---

HfVIr (PBE, optimized geometry); offset from the most stable computed form = 0.00 eV/f.u.; formation energy = -0.708 eV per atom; VASP energy = -10.019 eV/atom
1.0
-2.048 3.093 -3.293
-5.123 0.731 0.137
-1.637 4.631 1.632
Hf V Ir
2 2 2
direct
0.878 0.372 0.372
0.122 0.628 0.628
0.000 0.000 0.000
0.500 0.000 0.000
0.500 0.500 0.000
0.500 0.000 0.500

---

Zr2Mn2Ru (PBE, optimized geometry); formation energy = -0.073 eV per atom; VASP energy = -9.015 eV/atom
1.0
-4.101 1.166 -4.572
4.379 -1.317 -4.264
-1.185 -4.041 0.032
Ru Mn Zr
2 4 4
direct
0.000 0.000 0.000
0.500 0.500 0.000
0.386 0.886 0.000
0.886 0.614 0.000
0.614 0.114 0.000
0.114 0.386 0.000
0.183 0.683 0.500
0.683 0.817 0.500
0.817 0.317 0.500
0.317 0.183 0.500

---

LiLa3Au3 (PBE, optimized geometry); formation energy = -0.658 eV per atom; VASP energy = -4.448 eV/atom
1.0
4.434 0.000 -0.967
-0.199 3.936 -0.914
-0.003 0.391 10.633
Li La Au
1 3 3
direct
0.433 0.433 0.866
0.311 0.811 0.623
0.679 0.179 0.358
0.008 0.008 0.016
0.152 0.652 0.305
0.859 0.359 0.719
0.557 0.557 0.114

---

HfBe2Al (PBE, optimized geometry); formation energy = 0.396 eV per atom; VASP energy = -4.891 eV/atom
1.0
4.035 0.000 0.000
0.000 4.035 0.000
2.017 2.017 7.772
Be Hf Al
4 2 2
direct
0.376 0.125 0.250
0.374 0.625 0.250
0.375 0.624 0.750
0.875 0.626 0.750
0.000 0.000 0.000
0.750 0.250 0.500
0.500 0.500 0.000
0.250 0.750 0.500

---

Ce5HgPb4 (PBE, optimized geometry); formation energy = -0.372 eV per atom; VASP energy = -4.852 eV/atom
1.0
4.194 0.000 0.000
0.000 4.194 0.000
0.000 0.000 16.703
Ce Hg Pb
5 1 4
direct
0.500 0.500 0.100
0.500 0.500 0.298
0.500 0.500 0.500
0.500 0.500 0.702
0.500 0.500 0.900
0.000 0.000 0.000
0.000 0.000 0.198
0.000 0.000 0.399
0.000 0.000 0.601
0.000 0.000 0.802

---

Tm3Th3In2Fe (PBE, optimized geometry); formation energy = -0.251 eV per atom; VASP energy = -5.764 eV/atom
1.0
-2.724 -2.111 1.370
5.548 -6.660 0.770
-1.024 5.594 6.587
Tm Th In Fe
3 3 2 1
direct
0.000 0.601 0.601
0.000 0.000 0.399
0.000 0.399 0.000
0.500 0.763 0.000
0.500 0.000 0.763
0.500 0.237 0.237
0.500 0.667 0.333
0.500 0.333 0.667
0.000 0.000 0.000

---

ScPaMo2 (PBE, optimized geometry); offset from the most stable computed form = 0.00 eV/f.u.; formation energy = 0.002 eV per atom; VASP energy = -9.371 eV/atom
1.0
4.751 0.000 0.000
2.376 4.115 0.000
2.376 1.372 3.879
Sc Mo Pa
1 2 1
direct
0.500 0.500 0.500
0.250 0.250 0.250
0.750 0.750 0.750
0.000 0.000 0.000

---

MgZrPO2 (PBE, optimized geometry); offset from the most stable computed form = 0.00 eV/f.u.; raw formation energy = -1548 meV/atom; VASP energy = -6.641 eV/atom
1.0
4.054 0.000 0.000
0.000 4.054 0.000
0.000 0.000 5.529
P Mg O Zr
1 1 2 1
direct
0.000 0.000 0.500
0.500 0.500 0.500
0.000 0.500 0.000
0.500 0.000 0.000
0.000 0.000 0.000